[1]
Compound: UFeIr
Source: OQMD
Functional: PBE-GGA
Structure: optimized geometry

It has space group F-43m (No. 216), with a = 5.948 Å, b = 5.948 Å, c = 5.948 Å, α = 90.00°, β = 90.00° and γ = 90.00°. Symmetry generates all atoms from U at (0.000, 0.000, 0.000), Fe at (0.250, 0.250, 0.250) and Ir at (0.000, 0.000, 0.500).

The value obtained for the energy relative to the elements is -29 meV per atom. For the magnetic moment, the calculation gives 0.6 μB/cell. The calculation puts the calculated volume at 17.54 Å³ per atom.

***

[2]
Compound: UFeIr
Source: OQMD
Functional: PBE-GGA
Structure: optimized geometry

It has space group F-43m (No. 216), with a = 6.155 Å, b = 6.155 Å, c = 6.155 Å, α = 90.00°, β = 90.00° and γ = 90.00°. Symmetry generates all atoms from U at (0.000, 0.000, 0.000), Fe at (0.250, 0.250, 0.750) and Ir at (0.250, 0.250, 0.250).

The value obtained for the energy relative to the elements is 369 meV per atom. For the magnetic moment, the calculation gives 2.4 μB/cell. The calculation puts the calculated volume at 19.43 Å³ per atom.

***

[3]
Compound: ZnFeIrW
Source: OQMD
Functional: PBE-GGA
Structure: optimized geometry

It has space group F-43m (No. 216), with a = 6.055 Å, b = 6.055 Å, c = 6.055 Å, α = 90.00°, β = 90.00° and γ = 90.00°. Symmetry generates all atoms from Zn at (0.000, 0.000, 0.000), Fe at (0.250, 0.250, 0.250), Ir at (0.250, 0.250, 0.750) and W at (0.000, 0.000, 0.500).

The value obtained for the energy relative to the elements is -20 meV per atom. For the magnetic moment, the calculation gives 4.1 μB/cell. The calculation puts the calculated volume at 13.87 Å³ per atom.

***

[4]
Compound: ZnFeIrW
Source: OQMD
Functional: PBE-GGA
Structure: optimized geometry

It has space group F-43m (No. 216), with a = 6.112 Å, b = 6.112 Å, c = 6.112 Å, α = 90.00°, β = 90.00° and γ = 90.00°. Symmetry generates all atoms from Zn at (0.000, 0.000, 0.000), Fe at (0.250, 0.250, 0.250), Ir at (0.000, 0.000, 0.500) and W at (0.250, 0.250, 0.750).

The value obtained for the energy relative to the elements is 186 meV per atom. For the magnetic moment, the calculation gives 12.0 μB/cell. The calculation puts the calculated volume at 14.27 Å³ per atom.

***

[5]
Compound: YFeIr2
Source: OQMD
Functional: PBE-GGA
Structure: optimized geometry

It has space group F-43m (No. 216), with a = 6.449 Å, b = 6.449 Å, c = 6.449 Å, α = 90.00°, β = 90.00° and γ = 90.00°. Symmetry generates all atoms from Y at (0.000, 0.000, 0.000), Fe at (0.250, 0.250, 0.250), Ir at (0.000, 0.000, 0.500) and Ir at (0.250, 0.250, 0.750).

The value obtained for the energy relative to the elements is 14 meV per atom. For the magnetic moment, the calculation gives 16.8 μB/cell. The calculation puts the calculated volume at 16.76 Å³ per atom.

***

[6]
Compound: YZnFeIr
Source: OQMD
Functional: PBE-GGA
Structure: optimized geometry

It has space group F-43m (No. 216), with a = 6.526 Å, b = 6.526 Å, c = 6.526 Å, α = 90.00°, β = 90.00° and γ = 90.00°. Symmetry generates all atoms from Y at (0.000, 0.000, 0.000), Zn at (0.250, 0.250, 0.250), Fe at (0.000, 0.000, 0.500) and Ir at (0.250, 0.250, 0.750).

The value obtained for the energy relative to the elements is -80 meV per atom. For the magnetic moment, the calculation gives 13.6 μB/cell. The calculation puts the calculated volume at 17.37 Å³ per atom.

***

[7]
Compound: YZnFeIr
Source: OQMD
Functional: PBE-GGA
Structure: optimized geometry

It has space group F-43m (No. 216), with a = 6.457 Å, b = 6.457 Å, c = 6.457 Å, α = 90.00°, β = 90.00° and γ = 90.00°. Symmetry generates all atoms from Y at (0.000, 0.000, 0.000), Zn at (0.000, 0.000, 0.500), Fe at (0.250, 0.250, 0.750) and Ir at (0.250, 0.250, 0.250).

The value obtained for the energy relative to the elements is -74 meV per atom. For the magnetic moment, the calculation gives 8.8 μB/cell. The calculation puts the calculated volume at 16.82 Å³ per atom.

***

[8]
Compound: ZnFe2Ir
Source: OQMD
Functional: PBE-GGA
Structure: optimized geometry

It has space group F-43m (No. 216), with a = 5.926 Å, b = 5.926 Å, c = 5.926 Å, α = 90.00°, β = 90.00° and γ = 90.00°. Symmetry generates all atoms from Zn at (0.000, 0.000, 0.000), Fe at (0.000, 0.000, 0.500), Fe at (0.250, 0.250, 0.250) and Ir at (0.250, 0.250, 0.750).

The value obtained for the energy relative to the elements is -55 meV per atom. For the magnetic moment, the calculation gives 22.8 μB/cell. The calculation puts the calculated volume at 13.01 Å³ per atom.

***

[9]
Compound: K2Fe5
Source: OQMD
Functional: PBE-GGA
Structure: optimized geometry

It has space group R3m (No. 160, hexagonal axes), with a = 4.0382 Å, b = 4.0382 Å, c = 31.5300 Å, α = 90.00°, β = 90.00° and γ = 120.00°. Symmetry generates all atoms from K at (0.0000, 0.0000, 0.0000), K at (0.0000, 0.0000, 0.4299), Fe at (0.0000, 0.0000, 0.1848), Fe at (0.0000, 0.0000, 0.2573), Fe at (0.0000, 0.0000, 0.5443), Fe at (0.0000, 0.0000, 0.8299) and Fe at (0.0000, 0.0000, 0.9012).

The energy comes out at -5.725 eV/atom. For the magnetic moment, the calculation gives 38.6 μB/cell. The calculation puts the calculated volume at 21.20 Å³ per atom.

***

[10]
Compound: KFe
Source: OQMD
Functional: PBE-GGA
Structure: optimized geometry

It has space group F-43m (No. 216), with a = 7.549 Å, b = 7.549 Å, c = 7.549 Å, α = 90.00°, β = 90.00° and γ = 90.00°. Symmetry generates all atoms from K at (0.000, 0.000, 0.000) and Fe at (0.250, 0.250, 0.250).

The energy comes out at -2.908 eV/atom. For the magnetic moment, the calculation gives 12.0 μB/cell. The calculation puts the calculated volume at 53.78 Å³ per atom.

***

[11]
Compound: KFe2
Source: OQMD
Functional: PBE-GGA
Structure: optimized geometry

It has space group P4_2/mnm (No. 136), with a = 5.393 Å, b = 5.393 Å, c = 6.065 Å, α = 90.00°, β = 90.00° and γ = 90.00°. Symmetry generates all atoms from K at (0.000, 0.000, 0.000) and Fe at (0.134, 0.134, 0.500).

The energy comes out at -4.032 eV/atom. For the magnetic moment, the calculation gives 12.2 μB/cell. The calculation puts the calculated volume at 29.40 Å³ per atom.

***

[12]
Compound: K2Fe
Source: OQMD
Functional: PBE-GGA
Structure: optimized geometry

It has space group Fd-3m (No. 227, origin choice 2), with a = 14.637 Å, b = 14.637 Å, c = 14.637 Å, α = 90.00°, β = 90.00° and γ = 90.00°. Symmetry generates all atoms from K at (0.000, 0.000, 0.000) and Fe at (0.125, 0.125, 0.125).

The energy comes out at -2.033 eV/atom. For the magnetic moment, the calculation gives 30.0 μB/cell. The calculation puts the calculated volume at 130.65 Å³ per atom.